The following is a DFT calculation (PBE) of an optimized crystal structure of TmPuI2.

Values from the calculation:
For the density, the calculation gives 8.16 Mg/m³. The calculation puts the uncorrected energy at -5.933 eV per atom. For the magnetic moment, the calculation gives 21.1 μB per cell. The energy relative to the elements, uncorrected is -0.457 eV per atom.

Geometry as CIF:
```
data_TmPuI2
_chemical_formula_sum 'Tm3 Pu3 I6'
_space_group_name_H-M_alt 'R -3 m'
_space_group_IT_number 166
_space_group_name_Hall '-R 3 2"'
_cell_length_a 3.7927
_cell_length_b 3.7927
_cell_length_c 32.6635
_cell_angle_alpha 90.00
_cell_angle_beta 90.00
_cell_angle_gamma 120.00
loop_
_atom_site_label
_atom_site_type_symbol
_atom_site_fract_x
_atom_site_fract_y
_atom_site_fract_z
Tm1 Tm 0.0000 0.0000 0.0000
Pu1 Pu 0.0000 0.0000 0.5000
I1 I 0.0000 0.0000 0.3993
```

=====

The following is a DFT calculation (PBE) of an optimized crystal structure of Np3Ga9Rh2.

Values from the calculation:
As for the formation energy: -328.3 meV per atom. For the density, the calculation gives 10.12 Mg/m³. The calculation puts the uncorrected energy at -6.097 eV per atom. For the magnetic moment, the calculation gives 24.1 μB per cell.

Geometry as CIF:
```
data_Np3Ga9Rh2
_chemical_formula_sum 'Np6 Ga18 Rh4'
_space_group_name_H-M_alt 'I m m m'
_space_group_IT_number 71
_space_group_name_Hall '-I 2 2'
_cell_length_a 4.3378
_cell_length_b 9.5111
_cell_length_c 12.2849
_cell_angle_alpha 90.00
_cell_angle_beta 90.00
_cell_angle_gamma 90.00
loop_
_atom_site_label
_atom_site_type_symbol
_atom_site_fract_x
_atom_site_fract_y
_atom_site_fract_z
Np1 Np 0.0000 0.0000 0.0000
Np2 Np 0.0000 0.0000 0.2977
Ga1 Ga 0.0000 0.2807 0.1355
Ga2 Ga 0.0000 0.3640 0.3481
Ga3 Ga 0.0000 0.5000 0.0000
Rh1 Rh 0.0000 0.1711 0.5000
```

=====

The following is a DFT calculation (PBE) of an optimized crystal structure of Sr2HfNbO6.

Values from the calculation:
For the density, the calculation gives 6.45 Mg/m³. The calculation puts the uncorrected energy at -8.355 eV per atom. For the magnetic moment, the calculation gives 0.4 μB per cell. The energy relative to the elements, uncorrected is -3.042 eV per atom.

Geometry as CIF:
```
data_Sr2HfNbO6
_chemical_formula_sum 'Sr2 Hf1 Nb1 O6'
_space_group_name_H-M_alt 'P 4/m m m'
_space_group_IT_number 123
_space_group_name_Hall '-P 4 2'
_cell_length_a 4.1151
_cell_length_b 4.1151
_cell_length_c 8.2435
_cell_angle_alpha 90.00
_cell_angle_beta 90.00
_cell_angle_gamma 90.00
loop_
_atom_site_label
_atom_site_type_symbol
_atom_site_fract_x
_atom_site_fract_y
_atom_site_fract_z
Sr1 Sr 0.0000 0.0000 0.2475
Hf1 Hf 0.5000 0.5000 0.5000
Nb1 Nb 0.5000 0.5000 0.0000
O1 O 0.0000 0.5000 0.0000
O2 O 0.0000 0.5000 0.5000
O3 O 0.5000 0.5000 0.2485
```

=====

The following is a DFT calculation (PBE) of an optimized crystal structure of Cr2NiPt.

Values from the calculation:
As for the formation energy: -80.4 meV per atom. For the density, the calculation gives 11.44 Mg/m³. The calculation puts the uncorrected energy at -7.848 eV per atom. For the magnetic moment, the calculation gives 1.5 μB per cell.

Geometry as CIF:
```
data_Cr2NiPt
_chemical_formula_sum 'Cr4 Ni2 Pt2'
_space_group_name_H-M_alt 'I -4 m 2'
_space_group_IT_number 119
_space_group_name_Hall 'I -4 -2'
_cell_length_a 3.7605
_cell_length_b 3.7605
_cell_length_c 7.3433
_cell_angle_alpha 90.00
_cell_angle_beta 90.00
_cell_angle_gamma 90.00
loop_
_atom_site_label
_atom_site_type_symbol
_atom_site_fract_x
_atom_site_fract_y
_atom_site_fract_z
Cr1 Cr 0.0000 0.0000 0.0000
Cr2 Cr 0.0000 0.5000 0.2500
Ni1 Ni 0.0000 0.5000 0.7500
Pt1 Pt 0.0000 0.0000 0.5000
```